## CoNiO4 (PBE+U)

Data for a geometry-optimized CoNiO4 structure.

The space group is P2/m (No. 10) and the conventional cell measures 4.090, 2.885 and 4.696 Å, with angles of 90.00, 94.50 and 90.00 degrees. The inequivalent atoms are Co at (0.000, 0.000, 0.000), Ni at (0.500, 0.500, 0.500), O at (0.242, 0.500, 0.866) and O at (0.246, 0.000, 0.340).

As for the total DFT energy (no corrections): -30.47 eV/cell.

---

## CoNi3O4 (PBE+U)

Data for a geometry-optimized CoNi3O4 structure.

The space group is P2/c (No. 13) and the conventional cell measures 5.196, 6.008 and 5.202 Å, with angles of 90.00, 109.50 and 90.00 degrees. The inequivalent atoms are Co at (0.000, 0.125, 0.250), Ni at (0.000, 0.376, 0.750), Ni at (0.500, 0.126, 0.750), Ni at (0.500, 0.376, 0.250), O at (0.251, 0.377, 0.502) and O at (0.254, 0.127, 0.999).

As for the total DFT energy (no corrections): -81.76 eV/cell.

---

## Co3NiO (PBE+U)

Data for a geometry-optimized Co3NiO structure.

The space group is Pm-3m (No. 221) and the conventional cell measures 4.319, 4.319 and 4.319 Å, with angles of 90.00, 90.00 and 90.00 degrees. The inequivalent atoms are Co at (0.000, 0.000, 0.500), Ni at (0.000, 0.000, 0.000) and O at (0.500, 0.500, 0.500).

As for the energy above the most stable polymorph in this dataset: 0.966 eV per atom.

---

## CoNiO2 (PBE+U)

Data for a geometry-optimized CoNiO2 structure.

The space group is C2/c (No. 15) and the conventional cell measures 6.023, 12.082 and 5.218 Å, with angles of 90.00, 125.19 and 90.00 degrees. The inequivalent atoms are Co at (0.000, 0.062, 0.250), Co at (0.000, 0.188, 0.750), Ni at (0.000, 0.313, 0.250), Ni at (0.000, 0.437, 0.750), O at (0.244, 0.438, 0.245) and O at (0.248, 0.312, 0.746).

As for the total DFT energy (no corrections): -172.98 eV/cell.

---

## CoNiO2 (PBE+U)

Data for a geometry-optimized CoNiO2 structure.

The space group is R-3m (No. 166, hexagonal axes) and the conventional cell measures 2.9695, 2.9695 and 17.1252 Å, with angles of 90.00, 90.00 and 120.00 degrees. The inequivalent atoms are Co at (0.0000, 0.0000, 0.0000), Ni at (0.0000, 0.0000, 0.5000) and O at (0.0000, 0.0000, 0.1032).

As for the total DFT energy (no corrections): -61.65 eV/cell.

---

## Co2NiO6 (PBE+U)

Data for a geometry-optimized Co2NiO6 structure.

The space group is Cmce (No. 64) and the conventional cell measures 8.484, 4.892 and 9.764 Å, with angles of 90.00, 90.00 and 90.00 degrees. The inequivalent atoms are Co at (0.167, 0.000, 0.000), Ni at (0.000, 0.000, 0.500), O at (0.000, 0.168, 0.096) and O at (0.166, 0.166, 0.403).

As for the total DFT energy (no corrections): -191.42 eV/cell.

---

## CoNi3O (PBE+U)

Data for a geometry-optimized CoNi3O structure.

The space group is Pm-3m (No. 221) and the conventional cell measures 4.340, 4.340 and 4.340 Å, with angles of 90.00, 90.00 and 90.00 degrees. The inequivalent atoms are Co at (0.000, 0.000, 0.000), Ni at (0.000, 0.000, 0.500) and O at (0.500, 0.500, 0.500).

As for the energy above the most stable polymorph in this dataset: 1.481 eV per atom.

---

## CoNi2O (PBE+U)

Data for a geometry-optimized CoNi2O structure.

The space group is I-42d (No. 122) and the conventional cell measures 4.439, 4.439 and 11.542 Å, with angles of 90.00, 90.00 and 90.00 degrees. The inequivalent atoms are Co at (0.000, 0.000, 0.000), Ni at (0.113, 0.250, 0.625) and O at (0.000, 0.000, 0.500).

As for the total DFT energy (no corrections): -52.02 eV/cell.

---

## CoNi3O6 (PBE+U)

Data for a geometry-optimized CoNi3O6 structure.

The space group is P2_1/c (No. 14) and the conventional cell measures 4.945, 5.112 and 8.938 Å, with angles of 90.00, 122.75 and 90.00 degrees. The inequivalent atoms are Co at (0.000, 0.000, 0.000), Ni at (0.303, 0.057, 0.799), Ni at (0.500, 0.000, 0.500), O at (0.081, 0.103, 0.221), O at (0.296, 0.704, 0.109) and O at (0.362, 0.178, 0.036).

As for the total DFT energy (no corrections): -98.95 eV/cell.

---

## CoNiO3 (PBE+U)

Data for a geometry-optimized CoNiO3 structure.

The space group is Pm-3m (No. 221) and the conventional cell measures 3.651, 3.651 and 3.651 Å, with angles of 90.00, 90.00 and 90.00 degrees. The inequivalent atoms are Co at (0.000, 0.000, 0.000), Ni at (0.500, 0.500, 0.500) and O at (0.000, 0.500, 0.500).

As for the total DFT energy (no corrections): -23.00 eV/cell.

---

## CoNiO2 (PBE+U)

Data for a geometry-optimized CoNiO2 structure.

The space group is I-42d (No. 122) and the conventional cell measures 4.700, 4.700 and 8.460 Å, with angles of 90.00, 90.00 and 90.00 degrees. The inequivalent atoms are Co at (0.000, 0.000, 0.000), Ni at (0.000, 0.000, 0.500) and O at (0.246, 0.250, 0.625).

As for the total DFT energy (no corrections): -81.92 eV/cell.

---

## CoNi3O (PBE+U)

Data for a geometry-optimized CoNi3O structure.

The space group is Pm-3m (No. 221) and the conventional cell measures 3.885, 3.885 and 3.885 Å, with angles of 90.00, 90.00 and 90.00 degrees. The inequivalent atoms are Co at (0.000, 0.000, 0.000), Ni at (0.000, 0.500, 0.500) and O at (0.500, 0.500, 0.500).

As for the energy above the most stable polymorph in this dataset: 0.000 eV per atom.

---

## Co2NiO6 (PBE+U)

Data for a geometry-optimized Co2NiO6 structure.

The space group is C2/m (No. 12) and the conventional cell measures 12.737, 2.816 and 5.837 Å, with angles of 90.00, 105.93 and 90.00 degrees. The inequivalent atoms are Co at (0.166, 0.000, 0.333), Ni at (0.000, 0.500, 0.000), O at (0.012, 0.000, 0.219), O at (0.153, 0.500, 0.113) and O at (0.179, 0.500, 0.554).

As for the total DFT energy (no corrections): -95.72 eV/cell.

---

## CoNi5O6 (PBE+U)

Data for a geometry-optimized CoNi5O6 structure.

The space group is C2/m (No. 12) and the conventional cell measures 5.187, 8.998 and 5.196 Å, with angles of 90.00, 109.52 and 90.00 degrees. The inequivalent atoms are Co at (0.000, 0.000, 0.000), Ni at (0.000, 0.166, 0.500), Ni at (0.000, 0.333, 0.000), Ni at (0.000, 0.500, 0.500), O at (0.248, 0.332, 0.749) and O at (0.248, 0.500, 0.252).

As for the total DFT energy (no corrections): -120.28 eV/cell.

---

## Co5NiO12 (PBE+U)

Data for a geometry-optimized Co5NiO12 structure.

The space group is C2/m (No. 12) and the conventional cell measures 4.902, 8.501 and 9.943 Å, with angles of 90.00, 90.05 and 90.00 degrees. The inequivalent atoms are Co at (0.000, 0.000, 0.000), Co at (0.000, 0.167, 0.500), Co at (0.000, 0.333, 0.000), Ni at (0.000, 0.500, 0.500), O at (0.166, 0.167, 0.905), O at (0.166, 0.334, 0.595), O at (0.166, 0.500, 0.905) and O at (0.168, 0.000, 0.595).

As for the total DFT energy (no corrections): -198.07 eV/cell.

---

## CoNi4O5 (PBE+U)

Data for a geometry-optimized CoNi4O5 structure.

The space group is Immm (No. 71) and the conventional cell measures 3.057, 4.232 and 15.083 Å, with angles of 90.00, 90.00 and 90.00 degrees. The inequivalent atoms are Co at (0.000, 0.000, 0.000), Ni at (0.000, 0.000, 0.201), Ni at (0.000, 0.000, 0.398), O at (0.000, 0.500, 0.000), O at (0.000, 0.500, 0.199) and O at (0.000, 0.500, 0.394).

As for the total DFT energy (no corrections): -98.00 eV/cell.

---

## Co2NiOsO8 (PBE+U)

Data for a geometry-optimized Co2NiOsO8 structure.

The space group is I-4m2 (No. 119) and the conventional cell measures 6.349, 6.349 and 6.557 Å, with angles of 90.00, 90.00 and 90.00 degrees. The inequivalent atoms are Co at (0.000, 0.000, 0.000), Co at (0.000, 0.500, 0.250), Ni at (0.000, 0.000, 0.500), Os at (0.000, 0.500, 0.750), O at (0.000, 0.215, 0.806) and O at (0.000, 0.324, 0.459).

As for the total DFT energy (no corrections): -142.92 eV/cell.

---

## Co2NiOsO (PBE+U)

Data for a geometry-optimized Co2NiOsO structure.

The space group is P4/mmm (No. 123) and the conventional cell measures 4.519, 4.519 and 3.364 Å, with angles of 90.00, 90.00 and 90.00 degrees. The inequivalent atoms are Co at (0.000, 0.500, 0.000), Ni at (0.000, 0.000, 0.000), Os at (0.500, 0.500, 0.500) and O at (0.000, 0.000, 0.500).

As for the total DFT energy (no corrections): -23.00 eV/cell.

---

## CoNiOs2O8 (PBE+U)

Data for a geometry-optimized CoNiOs2O8 structure.

The space group is I-4 (No. 82) and the conventional cell measures 4.805, 4.805 and 13.428 Å, with angles of 90.00, 90.00 and 90.00 degrees. The inequivalent atoms are Co at (0.000, 0.000, 0.000), Ni at (0.000, 0.500, 0.250), Os at (0.000, 0.000, 0.500), Os at (0.000, 0.500, 0.750), O at (0.220, 0.745, 0.813) and O at (0.226, 0.244, 0.439).

As for the total DFT energy (no corrections): -157.57 eV/cell.

---

## CoNiPO2 (PBE+U)

Data for a geometry-optimized CoNiPO2 structure.

The space group is P4/mmm (No. 123) and the conventional cell measures 3.584, 3.584 and 4.865 Å, with angles of 90.00, 90.00 and 90.00 degrees. The inequivalent atoms are Co at (0.000, 0.000, 0.000), Ni at (0.500, 0.500, 0.500), P at (0.500, 0.500, 0.000) and O at (0.000, 0.500, 0.500).

As for the energy above the most stable polymorph in this dataset: 0.247 eV per atom.

---

Number 1: calculated volume 9.2 Å³ per atom, density 5.5 g cm⁻³. Number 2: calculated volume 9.6 Å³ per atom, density 6.5 g cm⁻³. Number 3: calculated volume 16.1 Å³ per atom, density 5.2 g cm⁻³. Number 4: calculated volume 9.7 Å³ per atom, density 6.4 g cm⁻³. Number 5: calculated volume 10.9 Å³ per atom, density 5.7 g cm⁻³. Number 6: calculated volume 11.3 Å³ per atom, density 4.5 g cm⁻³. Number 7: calculated volume 16.4 Å³ per atom, density 5.1 g cm⁻³. Number 8: calculated volume 14.2 Å³ per atom, density 5.6 g cm⁻³. Number 9: calculated volume 9.5 Å³ per atom, density 5.8 g cm⁻³. Number 10: calculated volume 9.7 Å³ per atom, density 5.7 g cm⁻³. Number 11: calculated volume 11.7 Å³ per atom, density 5.3 g cm⁻³. Number 12: calculated volume 11.7 Å³ per atom, density 7.1 g cm⁻³. Number 13: calculated volume 11.2 Å³ per atom, density 4.5 g cm⁻³. Number 14: calculated volume 9.5 Å³ per atom, density 6.5 g cm⁻³. Number 15: calculated volume 11.5 Å³ per atom, density 4.4 g cm⁻³. Number 16: calculated volume 9.8 Å³ per atom, density 6.4 g cm⁻³. Number 17: calculated volume 11.0 Å³ per atom, density 6.2 g cm⁻³. Number 18: calculated volume 13.7 Å³ per atom, density 9.3 g cm⁻³. Number 19: calculated volume 12.9 Å³ per atom, density 6.7 g cm⁻³. Number 20: calculated volume 12.5 Å³ per atom, density 4.8 g cm⁻³.